## MnReW2N (PBE-GGA)

Data for crystalline MnReW2N at its relaxed geometry.

The value obtained for the density of states at the Fermi level is 3.7 states/eV/cell. As for the uncorrected formation energy: -0.02 eV per atom.

The structure belongs to space group P4/mmm (No. 123); the cell edges are 4.115, 4.115 and 3.840 Å and the angles 90.00°, 90.00° and 90.00°. Symmetry generates all atoms from Mn at (0.000, 0.000, 0.000), Re at (0.500, 0.500, 0.000), W at (0.000, 0.500, 0.500) and N at (0.000, 0.000, 0.500).

## Cs4H2SeS2 (PBE-GGA)

Data for crystalline Cs4H2SeS2 at its relaxed geometry.

The value obtained for the density of states at the Fermi level is 0.0 states/eV/cell. The value obtained for the electronic total energy is -3.30 eV/atom.

The structure belongs to space group C2/m (No. 12); the cell edges are 8.903, 8.904 and 9.268 Å and the angles 90.00°, 118.68° and 90.00°. Symmetry generates all atoms from Cs at (0.121, 0.250, 0.243), H at (0.186, 0.000, 0.871), Se at (0.000, 0.000, 0.500) and S at (0.231, 0.500, 0.961).

## Sr2P3Pd (PBE-GGA)

Data for crystalline Sr2P3Pd at its relaxed geometry.

The value obtained for the density of states at the Fermi level is 19.8 states/eV/cell. The value obtained for the electronic total energy is -4.97 eV/atom.

The structure belongs to space group Fmmm (No. 69); the cell edges are 8.817, 8.911 and 13.679 Å and the angles 90.00°, 90.00° and 90.00°. Symmetry generates all atoms from Sr at (0.240, 0.000, 0.000), Sr at (0.250, 0.250, 0.250), P at (0.000, 0.000, 0.153), P at (0.000, 0.228, 0.419) and Pd at (0.000, 0.000, 0.326).